Run i
VASP calculation (GGA-PBE) on a relaxed BaCa2Ag crystal.

Cell and atoms, written as CIF:
```
data_BaCa2Ag
_chemical_formula_sum 'Ba2 Ca4 Ag2'
_symmetry_space_group_name_H-M 'I 4/m m m'
_symmetry_Int_Tables_number 139
_symmetry_space_group_name_Hall '-I 4 2'
_cell_length_a 5.0463
_cell_length_b 5.0463
_cell_length_c 12.0831
_cell_angle_alpha 90.00
_cell_angle_beta 90.00
_cell_angle_gamma 90.00
loop_
_atom_site_label
_atom_site_type_symbol
_atom_site_fract_x
_atom_site_fract_y
_atom_site_fract_z
Ba1 Ba 0.0000 0.0000 0.0000
Ca1 Ca 0.0000 0.5000 0.2500
Ag1 Ag 0.0000 0.0000 0.5000
```

Crystal system: tetragonal

***

Run ii
VASP calculation (GGA-PBE) on a relaxed BaCa2Ag crystal.

Cell and atoms, written as CIF:
```
data_BaCa2Ag
_chemical_formula_sum 'Ba3 Ca6 Ag3'
_symmetry_space_group_name_H-M 'R -3 m'
_symmetry_Int_Tables_number 166
_symmetry_space_group_name_Hall '-R 3 2"'
_cell_length_a 4.3151
_cell_length_b 4.3151
_cell_length_c 31.2751
_cell_angle_alpha 90.00
_cell_angle_beta 90.00
_cell_angle_gamma 120.00
loop_
_atom_site_label
_atom_site_type_symbol
_atom_site_fract_x
_atom_site_fract_y
_atom_site_fract_z
Ba1 Ba 0.0000 0.0000 0.0000
Ca1 Ca 0.0000 0.0000 0.2218
Ag1 Ag 0.0000 0.0000 0.5000
```

Crystal system: trigonal

***

Run iii
VASP calculation (GGA-PBE) on a relaxed BaCa2Ag crystal.

Cell and atoms, written as CIF:
```
data_BaCa2Ag
_chemical_formula_sum 'Ba2 Ca4 Ag2'
_symmetry_space_group_name_H-M 'P 1 21/m 1'
_symmetry_Int_Tables_number 11
_cell_length_a 4.7459
_cell_length_b 9.9416
_cell_length_c 6.9878
_cell_angle_alpha 90.00
_cell_angle_beta 109.83
_cell_angle_gamma 90.00
loop_
_symmetry_equiv_pos_as_xyz
'x,y,z'
'-x,-y,-z'
'-x,y+1/2,-z'
'x,-y+1/2,z'
loop_
_atom_site_label
_atom_site_type_symbol
_atom_site_fract_x
_atom_site_fract_y
_atom_site_fract_z
Ba1 Ba 0.0598 0.2500 0.1205
Ca1 Ca 0.3481 0.0591 0.6963
Ag1 Ag 0.2343 0.7500 0.4683
```

Crystal system: monoclinic

***

Quick one: most stable of them? run iii

***

Run i
VASP calculation (GGA-PBE) on a relaxed BaCa2Ag crystal.

Cell and atoms, written as CIF:
```
data_BaCa2Ag
_chemical_formula_sum 'Ba3 Ca6 Ag3'
_symmetry_space_group_name_H-M 'R 3 m'
_symmetry_Int_Tables_number 160
_symmetry_space_group_name_Hall 'R 3 -2"'
_cell_length_a 4.2949
_cell_length_b 4.2949
_cell_length_c 31.2550
_cell_angle_alpha 90.00
_cell_angle_beta 90.00
_cell_angle_gamma 120.00
loop_
_atom_site_label
_atom_site_type_symbol
_atom_site_fract_x
_atom_site_fract_y
_atom_site_fract_z
Ba1 Ba 0.0000 0.0000 0.0000
Ca1 Ca 0.0000 0.0000 0.5557
Ca2 Ca 0.0000 0.0000 0.7769
Ag1 Ag 0.0000 0.0000 0.1662
```

Crystal system: trigonal

***

Run ii
VASP calculation (GGA-PBE) on a relaxed BaCa2Ag crystal.

Cell and atoms, written as CIF:
```
data_BaCa2Ag
_chemical_formula_sum 'Ba4 Ca8 Ag4'
_symmetry_space_group_name_H-M 'I -4 2 d'
_symmetry_Int_Tables_number 122
_symmetry_space_group_name_Hall 'I -4 2bw'
_cell_length_a 7.1636
_cell_length_b 7.1636
_cell_length_c 17.5161
_cell_angle_alpha 90.00
_cell_angle_beta 90.00
_cell_angle_gamma 90.00
loop_
_atom_site_label
_atom_site_type_symbol
_atom_site_fract_x
_atom_site_fract_y
_atom_site_fract_z
Ba1 Ba 0.0000 0.0000 0.0000
Ca1 Ca 0.0017 0.2500 0.6250
Ag1 Ag 0.0000 0.0000 0.5000
```

Crystal system: tetragonal

***

Run iii
VASP calculation (GGA-PBE) on a relaxed BaCa2Ag crystal.

Cell and atoms, written as CIF:
```
data_BaCa2Ag
_chemical_formula_sum 'Ba2 Ca4 Ag2'
_symmetry_space_group_name_H-M 'I -4 m 2'
_symmetry_Int_Tables_number 119
_symmetry_space_group_name_Hall 'I -4 -2'
_cell_length_a 5.3000
_cell_length_b 5.3000
_cell_length_c 10.5909
_cell_angle_alpha 90.00
_cell_angle_beta 90.00
_cell_angle_gamma 90.00
loop_
_atom_site_label
_atom_site_type_symbol
_atom_site_fract_x
_atom_site_fract_y
_atom_site_fract_z
Ba1 Ba 0.0000 0.0000 0.0000
Ca1 Ca 0.0000 0.0000 0.5000
Ca2 Ca 0.0000 0.5000 0.2500
Ag1 Ag 0.0000 0.5000 0.7500
```

Crystal system: tetragonal

***

Run iv
VASP calculation (GGA-PBE) on a relaxed BaCa2Ag crystal.

Cell and atoms, written as CIF:
```
data_BaCa2Ag
_chemical_formula_sum 'Ba2 Ca4 Ag2'
_symmetry_space_group_name_H-M 'C 1 2/m 1'
_symmetry_Int_Tables_number 12
_cell_length_a 7.1973
_cell_length_b 12.5682
_cell_length_c 3.8390
_cell_angle_alpha 90.00
_cell_angle_beta 117.98
_cell_angle_gamma 90.00
loop_
_symmetry_equiv_pos_as_xyz
'x,y,z'
'-x,-y,-z'
'-x,y,-z'
'x,-y,z'
'x+1/2,y+1/2,z'
'-x+1/2,-y+1/2,-z'
'-x+1/2,y+1/2,-z'
'x+1/2,-y+1/2,z'
loop_
_atom_site_label
_atom_site_type_symbol
_atom_site_fract_x
_atom_site_fract_y
_atom_site_fract_z
Ba1 Ba 0.0000 0.0000 0.0000
Ca1 Ca 0.2500 0.2500 0.5000
Ag1 Ag 0.0000 0.5000 0.0000
```

Crystal system: monoclinic

***

Quick one: most stable of them? run i

***

Run i
VASP calculation (GGA-PBE) on a relaxed BaCa4Ag crystal.

Cell and atoms, written as CIF:
```
data_BaCa4Ag
_chemical_formula_sum 'Ba4 Ca16 Ag4'
_symmetry_space_group_name_H-M 'F -4 3 m'
_symmetry_Int_Tables_number 216
_symmetry_space_group_name_Hall 'F -4 2 3'
_cell_length_a 10.1388
_cell_length_b 10.1388
_cell_length_c 10.1388
_cell_angle_alpha 90.00
_cell_angle_beta 90.00
_cell_angle_gamma 90.00
loop_
_atom_site_label
_atom_site_type_symbol
_atom_site_fract_x
_atom_site_fract_y
_atom_site_fract_z
Ba1 Ba 0.0000 0.0000 0.0000
Ca1 Ca 0.1248 0.1248 0.6248
Ag1 Ag 0.2500 0.2500 0.2500
```

Crystal system: cubic

***

Run ii
VASP calculation (GGA-PBE) on a relaxed BaCa4Ag crystal.

Cell and atoms, written as CIF:
```
data_BaCa4Ag
_chemical_formula_sum 'Ba2 Ca8 Ag2'
_symmetry_space_group_name_H-M 'P 1 21/m 1'
_symmetry_Int_Tables_number 11
_cell_length_a 6.2971
_cell_length_b 7.4973
_cell_length_c 10.8761
_cell_angle_alpha 90.00
_cell_angle_beta 99.00
_cell_angle_gamma 90.00
loop_
_symmetry_equiv_pos_as_xyz
'x,y,z'
'-x,-y,-z'
'-x,y+1/2,-z'
'x,-y+1/2,z'
loop_
_atom_site_label
_atom_site_type_symbol
_atom_site_fract_x
_atom_site_fract_y
_atom_site_fract_z
Ba1 Ba 0.2343 0.2500 0.4487
Ca1 Ca 0.1412 0.2500 0.0613
Ca2 Ca 0.1869 0.7500 0.2778
Ca3 Ca 0.3371 0.5068 0.7958
Ag1 Ag 0.3634 0.7500 0.0285
```

Crystal system: monoclinic

***

Quick one: most stable of them? run ii